CaAgOF | GGA-PBE | relaxed

```
4
Lattice="-3.605 0.925 -0.486 1.116 -1.574 3.220 1.129 5.647 2.369" Properties=species:S:1:pos:R:3 pbc="T T T"
O -1.345 3.522 2.188
Ag -0.952 5.489 3.013
F -0.271 0.191 2.375
Ca 0.131 2.205 3.220
```

* magnetization: 0.00 μB/f.u.
* raw formation energy: -1967 meV per atom
* total energy: -4.887 eV/atom
* calculated density: 4.00 Mg/m³

=====

Ba2Zn3Cd4In | GGA-PBE | relaxed

```
10
Lattice="4.791 0.000 0.000 0.000 4.791 0.000 0.000 0.000 11.706" Properties=species:S:1:pos:R:3 pbc="T T T"
Zn 2.396 0.000 10.222
Zn 0.000 2.396 1.484
Zn 0.000 0.000 5.853
Cd 0.000 0.000 0.000
Cd 0.000 2.396 4.232
Cd 2.396 0.000 7.474
Cd 2.396 2.396 0.000
Ba 0.000 2.396 8.821
Ba 2.396 0.000 2.885
In 2.396 2.396 5.853
```

* magnetization: 0.00 μB/f.u.
* total energy: -1.637 eV/atom
* Fermi-level density of states: 6.77 states/eV/f.u.
* calculated formation energy: -0.23 eV per atom
* calculated density: 6.40 Mg/m³

=====

CaAs2Se | GGA-PBE | relaxed

```
4
Lattice="4.041 0.000 0.000 0.000 4.041 0.000 0.000 0.000 6.098" Properties=species:S:1:pos:R:3 pbc="T T T"
As 0.000 0.000 0.810
As 2.020 2.020 0.437
Ca 0.000 0.000 3.878
Se 2.020 2.020 4.022
```

* magnetization: 0.00 μB/f.u.
* raw formation energy: -722 meV per atom
* total energy: -4.419 eV/atom
* Fermi-level density of states: 1.35 states/eV/f.u.
* calculated density: 4.49 Mg/m³

=====

CaPm2DyTl4 | GGA-PBE | relaxed

```
8
Lattice="5.450 0.000 0.000 2.725 4.720 0.000 2.725 1.573 8.942" Properties=species:S:1:pos:R:3 pbc="T T T"
Tl 2.725 1.573 5.531
Tl 5.450 3.147 1.189
Tl 8.176 4.720 3.411
Tl 5.450 3.147 7.753
Pm 2.725 1.573 2.142
Pm 8.176 4.720 6.801
Dy 5.450 3.147 4.471
Ca 0.000 0.000 0.000
```

* magnetization: 0.00 μB/f.u.
* total energy: -3.577 eV/atom
* Fermi-level density of states: 5.18 states/eV/f.u.
* calculated formation energy: -0.38 eV per atom
* calculated density: 9.46 Mg/m³

=====

Y2AlCoPd | GGA-PBE | relaxed

```
5
Lattice="5.029 0.000 0.000 0.000 4.483 0.000 0.000 0.000 5.029" Properties=species:S:1:pos:R:3 pbc="T T T"
Y 0.000 0.000 2.515
Y 2.515 0.000 0.000
Al 0.000 2.241 0.000
Pd 2.515 2.241 2.515
Co 0.000 0.000 0.000
```

* energy relative to the lowest polymorph listed for this composition: 0.000 eV/atom
* magnetization: 0.00 μB/f.u.
* total energy: -6.072 eV/atom
* Fermi-level density of states: 2.45 states/eV/f.u.
* calculated formation energy: -0.28 eV per atom
* calculated density: 5.42 Mg/m³

=====

RbNaUBr6 | GGA-PBE | relaxed

```
18
Lattice="-6.146 2.158 3.884 -0.576 -1.712 -7.366 -2.792 -14.349 3.555" Properties=species:S:1:pos:R:3 pbc="T T T"
Na -6.384 -9.894 2.800
Na -3.131 -4.010 -2.727
Br -4.815 -12.199 1.641
Br -6.609 -0.532 1.664
Br -6.770 -12.657 -1.741
Br -4.962 -3.798 3.604
Br -2.744 -1.247 1.814
Br -2.905 -13.371 -1.592
Br -3.544 -4.938 0.116
Br -2.148 -9.806 -0.433
Br -7.367 -4.097 0.506
Br -5.971 -8.966 -0.044
Br -4.700 -1.704 -1.568
Br -4.553 -10.106 -3.531
Rb -1.396 -7.175 1.777
Rb 0.000 0.000 0.000
U -4.988 -2.719 1.023
U -4.527 -11.184 -0.950
```

* magnetization: 2.00 μB/f.u.
* raw formation energy: -1499 meV per atom
* total energy: -4.122 eV/atom
* Fermi-level density of states: 4.41 states/eV/f.u.
* calculated density: 3.66 Mg/m³

=====

Li2IrRh | GGA-PBE | relaxed

```
4
Lattice="5.000 -0.004 0.002 2.397 4.388 -0.002 -3.187 -3.055 2.347" Properties=species:S:1:pos:R:3 pbc="T T T"
Li 7.350 4.356 0.000
Li 2.787 -0.414 1.174
Rh 3.706 2.196 0.000
Ir 1.462 1.767 1.173
```

* energy relative to the lowest polymorph listed for this composition: 0.166 eV/atom
* magnetization: 0.00 μB/f.u.
* total energy: -5.061 eV/atom
* Fermi-level density of states: 4.61 states/eV/f.u.
* calculated formation energy: -0.05 eV per atom
* calculated density: 9.96 Mg/m³

=====

KTc2Ir | GGA-PBE | relaxed

```
4
Lattice="-2.688 2.190 -4.504 -5.591 0.866 0.547 5.334 1.179 1.570" Properties=species:S:1:pos:R:3 pbc="T T T"
Tc -0.869 2.494 -2.515
Tc -7.913 2.920 -3.782
K -2.142 1.766 0.096
Ir -4.441 1.639 -2.122
```

* energy relative to the lowest polymorph listed for this composition: 0.445 eV/atom
* magnetization: 0.00 μB/f.u.
* total energy: -6.625 eV/atom
* Fermi-level density of states: 2.63 states/eV/f.u.
* calculated formation energy: 1.05 eV per atom
* calculated density: 9.56 Mg/m³

=====

RbPd2Pt | GGA-PBE | relaxed

```
8
Lattice="5.211 0.000 0.000 0.000 5.211 0.000 2.606 2.606 8.707" Properties=species:S:1:pos:R:3 pbc="T T T"
Pd 6.514 2.406 6.531
Pd 5.012 1.303 2.177
Pd 3.909 2.805 6.531
Pd 5.411 3.909 2.177
Rb 2.606 5.211 4.354
Rb 2.606 2.606 0.000
Pt 5.211 2.606 4.354
Pt 0.000 0.000 0.000
```

* energy relative to the lowest polymorph listed for this composition: 0.332 eV/atom
* magnetization: 0.00 μB/f.u.
* total energy: -4.008 eV/atom
* Fermi-level density of states: 3.12 states/eV/f.u.
* calculated formation energy: 0.34 eV per atom
* calculated density: 6.93 Mg/m³

=====

LaGa2F8 | GGA-PBE | relaxed

```
11
Lattice="4.054 0.000 0.000 -0.001 6.026 -3.478 0.000 -0.001 6.958" Properties=species:S:1:pos:R:3 pbc="T T T"
F 2.958 2.087 0.004
F 2.958 4.984 1.670
F 3.114 2.008 3.479
F 1.095 1.046 5.152
F 2.958 4.979 -1.673
F 1.095 1.040 1.810
F 0.940 4.017 0.000
F 1.095 3.937 3.475
Ga 1.104 2.008 3.479
Ga 2.950 4.017 0.000
La 0.000 -0.001 6.958
```

* energy relative to the lowest polymorph listed for this composition: 0.000 eV/atom
* magnetization: 0.00 μB/f.u.
* raw formation energy: -2874 meV per atom
* total energy: -5.233 eV/atom
* Fermi-level density of states: 2.28 states/eV/f.u.
* calculated density: 4.20 Mg/m³

=====

Li4Mg5Cd | GGA-PBE | relaxed

```
10
Lattice="-3.229 0.989 4.340 2.625 -2.705 6.054 1.609 6.121 3.286" Properties=species:S:1:pos:R:3 pbc="T T T"
Li 0.517 3.092 9.706
Li 0.513 3.837 6.050
Li 0.883 1.192 3.443
Li 0.886 0.448 7.099
Mg 0.110 5.830 8.977
Mg 3.086 1.225 8.757
Mg -1.870 3.116 4.639
Mg 1.106 -1.489 4.419
Mg -2.201 0.674 2.959
Cd -0.659 0.202 0.885
```

* energy relative to the lowest polymorph listed for this composition: 0.138 eV/atom
* magnetization: 0.00 μB/f.u.
* total energy: -1.592 eV/atom
* Fermi-level density of states: 2.75 states/eV/f.u.
* calculated formation energy: 0.06 eV per atom
* calculated density: 1.83 Mg/m³

=====

SbAsOs2 | GGA-PBE | relaxed

```
4
Lattice="3.047 0.000 0.000 0.000 5.258 0.000 0.000 0.000 4.301" Properties=species:S:1:pos:R:3 pbc="T T T"
Sb 1.523 0.000 2.151
Os 1.523 2.629 0.000
Os 0.000 0.000 0.000
As 0.000 2.629 2.151
```

* energy relative to the lowest polymorph listed for this composition: 0.609 eV/atom
* magnetization: 0.00 μB/f.u.
* raw formation energy: 907 meV per atom
* total energy: -6.901 eV/atom
* Fermi-level density of states: 4.23 states/eV/f.u.
* calculated density: 13.91 Mg/m³

=====

Pm5Y4Sc | GGA-PBE | relaxed

```
10
Lattice="3.481 -0.001 -0.707 0.057 11.485 0.289 -0.129 2.487 8.284" Properties=species:S:1:pos:R:3 pbc="T T T"
Pm 0.701 5.461 3.451
Pm 0.651 11.558 3.211
Pm 1.769 5.742 -0.209
Pm 2.707 8.511 4.416
Pm 2.758 2.414 4.655
Y 0.308 8.599 1.525
Y 1.321 11.136 6.506
Y 2.088 2.837 1.360
Y 3.100 5.373 6.341
Sc 1.740 0.000 -0.353
```

* energy relative to the lowest polymorph listed for this composition: 0.023 eV/atom
* magnetization: 0.00 μB/f.u.
* total energy: -5.547 eV/atom
* Fermi-level density of states: 14.58 states/eV/f.u.
* calculated formation energy: 0.05 eV per atom
* calculated density: 5.71 Mg/m³

=====

Pu5Sb4O | GGA-PBE | relaxed

```
10
Lattice="6.194 0.000 0.000 3.097 6.665 0.000 3.097 0.000 6.665" Properties=species:S:1:pos:R:3 pbc="T T T"
Sb 6.208 4.063 1.526
Sb 6.208 2.602 5.139
Sb 9.305 5.139 4.063
Sb 3.111 1.526 2.602
Pu 3.093 4.348 1.075
Pu 6.190 5.590 4.348
Pu 2.693 0.000 0.000
Pu 9.287 2.317 5.590
Pu 6.190 1.075 2.317
O 0.428 0.000 0.000
```

* magnetization: 26.33 μB/f.u.
* raw formation energy: -880 meV per atom
* total energy: -10.191 eV/atom
* Fermi-level density of states: 51.32 states/eV/f.u.
* calculated density: 10.40 Mg/m³

=====

ZrAl3Ni2 | GGA-PBE | relaxed

```
6
Lattice="0.291 5.828 -1.228 -2.368 -5.014 -2.194 -3.224 0.604 2.102" Properties=species:S:1:pos:R:3 pbc="T T T"
Zr 0.000 0.000 0.000
Ni -1.773 4.289 -0.341
Ni -3.529 -2.871 -0.979
Al -0.558 2.368 -1.536
Al -2.651 0.709 -0.660
Al -1.520 -1.554 -1.885
```

* energy relative to the lowest polymorph listed for this composition: 0.177 eV/atom
* magnetization: 0.00 μB/f.u.
* total energy: -5.630 eV/atom
* Fermi-level density of states: 2.87 states/eV/f.u.
* calculated formation energy: -0.41 eV per atom
* calculated density: 5.39 Mg/m³

=====

NdYSb2 | GGA-PBE | relaxed

```
4
Lattice="4.429 0.000 0.000 2.214 3.835 0.000 2.214 1.278 7.556" Properties=species:S:1:pos:R:3 pbc="T T T"
Y 4.429 2.557 3.826
Sb 2.214 1.278 1.922
Sb 2.214 1.278 5.639
Nd 6.643 3.835 7.504
```

* energy relative to the lowest polymorph listed for this composition: 0.124 eV/atom
* magnetization: 0.00 μB/f.u.
* raw formation energy: -1051 meV per atom
* total energy: -5.920 eV/atom
* Fermi-level density of states: 0.42 states/eV/f.u.
* calculated density: 6.17 Mg/m³

=====

HfH2Pt | GGA-PBE | relaxed

```
8
Lattice="-4.088 -0.190 -0.747 0.699 -2.611 -3.162 -2.088 -5.333 1.205" Properties=species:S:1:pos:R:3 pbc="T T T"
H -2.868 -4.936 -0.423
H -0.417 -2.980 -1.736
H -3.168 -1.787 -0.593
H -4.501 -6.565 -2.655
Pt -3.935 -3.462 -0.748
Pt 0.000 0.000 0.000
Hf -1.694 -1.401 -1.954
Hf -1.542 -4.672 -1.955
```

* energy relative to the lowest polymorph listed for this composition: 0.000 eV/atom
* magnetization: 0.00 μB/f.u.
* total energy: -5.949 eV/atom
* Fermi-level density of states: 2.19 states/eV/f.u.
* calculated density: 14.25 Mg/m³

=====

KWSe2 | GGA-PBE | relaxed

```
4
Lattice="3.944 -0.042 0.022 2.355 3.163 0.022 1.569 0.778 7.517" Properties=species:S:1:pos:R:3 pbc="T T T"
Se 1.584 0.785 7.047
Se 3.919 1.942 4.251
K 1.967 0.975 1.890
W 5.901 2.924 5.671
```

* energy relative to the lowest polymorph listed for this composition: 0.000 eV/atom
* magnetization: 1.02 μB/f.u.
* raw formation energy: -324 meV per atom
* total energy: -5.579 eV/atom
* Fermi-level density of states: 2.62 states/eV/f.u.
* calculated density: 6.70 Mg/m³

=====

Na3Tm2SnS6 | GGA-PBE | relaxed

```
12
Lattice="6.840 0.000 -0.001 -3.418 5.924 -0.001 -1.142 -1.977 6.664" Properties=species:S:1:pos:R:3 pbc="T T T"
S 0.009 0.016 5.170
S 2.270 3.930 1.493
S 2.299 0.001 1.497
S -0.020 3.945 5.166
S 3.427 1.955 5.166
S -1.148 1.992 1.497
Tm 3.423 1.973 -0.001
Tm -0.001 3.951 -0.001
Na 4.590 -0.019 3.331
Na 1.140 1.973 3.331
Na -2.310 3.966 3.331
Sn 0.000 0.000 0.000
```

* magnetization: 0.00 μB/f.u.
* raw formation energy: -1455 meV per atom
* total energy: -4.927 eV/atom
* Fermi-level density of states: 4.37 states/eV/f.u.
* calculated density: 4.42 Mg/m³

=====

BaRe2P | GGA-PBE | relaxed

```
4
Lattice="2.043 4.749 3.161 -5.478 -0.453 -2.550 -0.992 -1.125 2.331" Properties=species:S:1:pos:R:3 pbc="T T T"
Re 1.021 2.375 1.580
Re -2.739 -0.226 -1.275
P -2.214 1.586 1.471
Ba -0.496 -0.562 1.166
```

* magnetization: 0.00 μB/f.u.
* total energy: -6.463 eV/atom
* Fermi-level density of states: 3.64 states/eV/f.u.
* calculated formation energy: 1.59 eV per atom
* calculated density: 10.86 Mg/m³